IrPb | PBE-GGA | relaxed

## Properties
Final energy   -10.76 eV per cell

POSCAR file:
```
IrPb
1.0
0.000 3.070 3.070
3.070 0.000 3.070
3.070 3.070 0.000
Ir Pb
1 1
Cartesian
0.000 0.000 0.000
1.535 1.535 1.535
```

CuSbTe | PBE-GGA | relaxed

## Properties
Final energy   -43.32 eV per cell

POSCAR file:
```
CuSbTe
1.0
-0.854 -6.251 2.151
3.985 -0.431 0.330
-0.502 3.921 11.196
Cu Sb Te
4 4 4
Cartesian
2.608 -2.215 2.376
2.048 -4.304 6.412
0.581 1.542 7.264
0.021 -0.546 11.301
0.396 -3.567 2.818
0.695 0.553 4.582
1.933 -3.315 9.094
2.233 0.806 10.859
0.820 -0.396 1.836
0.274 -2.595 5.557
2.354 -0.166 8.120
1.808 -2.365 11.841
```

Tb2AuSe3 | PBE-GGA | relaxed

## Properties
Final energy   -124.40 eV per cell
Energy relative to the lowest polymorph listed for this composition   0 meV per atom

POSCAR file:
```
Tb2AuSe3
1.0
-3.994 -0.233 6.737
-1.132 -3.727 -0.801
14.810 -6.339 8.562
Au Se Tb
4 12 8
Cartesian
-0.459 -1.693 3.593
1.861 -3.658 9.457
7.822 -6.642 5.041
10.142 -8.607 10.905
0.737 -1.464 0.836
-1.905 -3.648 4.863
2.054 -2.530 3.934
0.329 -2.763 7.460
4.244 -5.309 3.896
3.710 -3.708 7.078
5.973 -6.591 7.420
5.439 -4.991 10.602
9.354 -7.536 7.038
7.629 -7.769 10.563
11.589 -6.651 9.634
8.946 -8.835 13.662
-1.927 -2.869 1.267
1.968 -4.084 1.414
1.401 -4.813 5.609
3.437 -6.136 8.891
6.247 -4.163 5.607
8.283 -5.487 8.889
7.715 -6.216 13.084
11.610 -7.431 13.230
```

Er2Tc2C3 | PBE-GGA | relaxed

## Properties
Final energy   -60.16 eV per cell

POSCAR file:
```
Er2Tc2C3
1.0
5.772 -1.650 0.000
5.772 1.650 0.000
-2.238 0.000 5.178
C Er Tc
3 2 2
Cartesian
2.322 0.000 1.197
-1.119 0.000 2.589
6.984 0.000 3.981
6.315 0.000 1.674
2.990 0.000 3.504
9.329 0.000 0.921
-0.024 0.000 4.256
```

LiY2Ir | PBE-GGA | relaxed

## Properties
Final energy   -25.49 eV per cell

POSCAR file:
```
LiY2Ir
1.0
4.862 0.000 0.000
0.000 4.862 0.000
0.000 0.000 3.579
Ir Li Y
1 1 2
Cartesian
2.431 2.431 0.000
0.000 0.000 0.000
2.431 0.000 1.790
0.000 2.431 1.790
```

TaInNiMo | PBE-GGA | relaxed

## Properties
Final energy   -30.37 eV per cell
Energy relative to the lowest polymorph listed for this composition   0 meV per atom

POSCAR file:
```
TaInNiMo
1.0
1.568 -4.241 -0.254
2.320 -1.768 3.464
-1.856 -3.257 2.541
In Mo Ni Ta
1 1 1 1
Cartesian
0.000 0.000 0.000
0.508 -2.316 1.438
1.523 -6.949 4.313
1.016 -4.633 2.876
```

Er2SnSe3 | PBE-GGA | relaxed

## Properties
Final energy   -31.37 eV per cell

POSCAR file:
```
Er2SnSe3
1.0
3.938 0.000 0.000
-1.969 3.411 0.000
0.000 0.000 12.168
Er Se Sn
2 3 1
Cartesian
0.000 2.274 1.780
1.969 1.137 10.388
0.000 0.000 0.000
1.969 1.137 3.375
0.000 2.274 8.792
0.000 0.000 6.084
```

IrPbNO | PBE-GGA | relaxed

## Properties
Final energy   -46.29 eV per cell
Energy relative to the lowest polymorph listed for this composition   664 meV per atom

POSCAR file:
```
IrPbNO
1.0
-2.273 -1.467 3.707
3.943 -0.192 2.342
-0.699 5.121 1.597
Ir N O Pb
2 2 2 2
Cartesian
0.398 -0.276 1.556
0.572 3.738 6.091
1.028 0.399 5.049
-0.058 3.063 2.597
-0.719 -1.148 3.366
2.389 -0.511 2.683
-1.069 1.412 4.165
2.039 2.050 3.482
```

MgHgSeO | PBE-GGA | relaxed

## Properties
Final energy   -24.62 eV per cell
Energy relative to the lowest polymorph listed for this composition   686 meV per atom

POSCAR file:
```
MgHgSeO
1.0
5.004 0.000 0.000
0.000 5.004 0.000
0.000 0.000 6.916
Hg Mg O Se
2 2 2 2
Cartesian
1.251 1.251 1.446
3.753 3.753 5.470
3.753 3.753 2.358
1.251 1.251 4.558
3.753 3.753 0.553
1.251 1.251 6.363
3.753 1.251 3.458
1.251 3.753 3.458
```

Y6Ag2Ge | PBE-GGA | relaxed

## Properties
Final energy   -51.93 eV per cell

POSCAR file:
```
Y6Ag2Ge
1.0
-3.137 0.571 -7.606
-2.940 -5.630 5.261
-2.798 2.731 1.359
Ag Ge Y
2 1 6
Cartesian
-4.470 -0.130 -2.638
-4.405 -2.197 1.651
0.000 0.000 0.000
-1.241 0.226 -3.009
-1.163 -2.227 2.081
-3.673 -3.058 -1.418
-3.731 1.790 -4.975
-2.959 0.067 0.078
-3.585 -2.819 4.590
```

MgBeAlNi | PBE-GGA | relaxed

## Properties
Final energy   -15.14 eV per cell
Energy relative to the lowest polymorph listed for this composition   0 meV per atom

POSCAR file:
```
MgBeAlNi
1.0
3.476 -2.012 1.133
0.578 -3.971 -1.143
2.888 -0.949 -2.859
Al Be Mg Ni
1 1 1 1
Cartesian
0.000 0.000 0.000
1.735 -1.733 -0.717
3.471 -3.466 -1.435
5.206 -5.199 -2.152
```

LaSn2IrPd | PBE-GGA | relaxed

## Properties
Final energy   -61.30 eV per cell
Energy relative to the lowest polymorph listed for this composition   0 meV per atom

POSCAR file:
```
LaSn2IrPd
1.0
-4.634 -0.276 -0.454
-0.069 -3.626 2.909
-1.001 6.560 8.153
Ir La Pd Sn
2 2 2 4
Cartesian
-1.524 1.468 3.652
-4.181 1.190 6.956
-3.742 -1.270 3.902
-1.963 3.927 6.706
-1.335 -2.795 2.058
-4.369 5.452 8.550
-1.209 -0.143 1.651
-3.991 2.164 4.460
-1.713 0.493 6.147
-4.496 2.801 8.957
```